1.
# MgMn2AsPb, relaxed, DFT PBE
# Calculated density = 5.396 g cm⁻³
# DFT formation energy = 0.485 eV/atom
data_MgMn2AsPb
_symmetry_space_group_name_H-M 'P 4/m m m'
_symmetry_Int_Tables_number 123
_symmetry_space_group_name_Hall '-P 4 2'
_cell_length_a 4.676
_cell_length_b 4.676
_cell_length_c 5.859
_cell_angle_alpha 90.00
_cell_angle_beta 90.00
_cell_angle_gamma 90.00
loop_
_atom_site_label
_atom_site_type_symbol
_atom_site_fract_x
_atom_site_fract_y
_atom_site_fract_z
Mg1 Mg 0.000 0.000 0.000
Mn1 Mn 0.000 0.500 0.500
As1 As 0.500 0.500 0.500
Pb1 Pb 0.500 0.500 0.000

***

2.
# Mg2MnAsRh, relaxed, DFT PBE
# Calculated density = 4.453 g cm⁻³
# DFT formation energy = 0.661 eV/atom
data_Mg2MnAsRh
_symmetry_space_group_name_H-M 'P 4/m m m'
_symmetry_Int_Tables_number 123
_symmetry_space_group_name_Hall '-P 4 2'
_cell_length_a 4.898
_cell_length_b 4.898
_cell_length_c 4.374
_cell_angle_alpha 90.00
_cell_angle_beta 90.00
_cell_angle_gamma 90.00
loop_
_atom_site_label
_atom_site_type_symbol
_atom_site_fract_x
_atom_site_fract_y
_atom_site_fract_z
Mg1 Mg 0.000 0.500 0.000
Mn1 Mn 0.000 0.000 0.000
As1 As 0.500 0.500 0.500
Rh1 Rh 0.000 0.000 0.500